1.
The following is a PBE calculation of LiSc2Au after structural relaxation, from the Open Quantum Materials Database.

The calculation puts the total energy at -0.179 hartree per atom. Its polymorph energy (0 for the lowest one) is 30 meV/atom.

a = 4.702 Å, b = 4.702 Å, c = 3.494 Å
α = 90.00°, β = 90.00°, γ = 90.00°
Fractional positions:
Li1 0.000 0.000 0.000
Sc1 0.000 0.500 0.500
Sc2 0.500 0.000 0.500
Au1 0.500 0.500 0.000


2.
The following is a PBE calculation of LiSc2Au after structural relaxation, from the Open Quantum Materials Database.

The calculation puts the total energy at -0.174 hartree per atom. Its polymorph energy (0 for the lowest one) is 154 meV/atom.

a = 4.695 Å, b = 4.695 Å, c = 4.695 Å
α = 60.00°, β = 60.00°, γ = 60.00°
Fractional positions:
Li1 0.000 0.000 0.000
Sc1 0.500 0.500 0.500
Sc2 0.750 0.750 0.750
Au1 0.250 0.250 0.250


3.
The following is a PBE calculation of LiSc2Au after structural relaxation, from the Open Quantum Materials Database.

The calculation puts the total energy at -0.180 hartree per atom. Its polymorph energy (0 for the lowest one) is 0 meV/atom.

a = 4.778 Å, b = 4.778 Å, c = 4.778 Å
α = 60.00°, β = 60.00°, γ = 60.00°
Fractional positions:
Li1 0.000 0.000 0.000
Sc1 0.250 0.250 0.250
Sc2 0.750 0.750 0.750
Au1 0.500 0.500 0.500


4.
The following is a PBE calculation of LiSc2Au after structural relaxation, from the Open Quantum Materials Database.

The calculation puts the total energy at -0.179 hartree per atom. Its polymorph energy (0 for the lowest one) is 30 meV/atom.

a = 5.866 Å, b = 5.866 Å, c = 5.866 Å
α = 110.89°, β = 106.66°, γ = 110.89°
Fractional positions:
Li1 0.253 0.003 0.250
Li2 0.747 0.997 0.750
Sc1 0.249 0.000 0.749
Sc2 0.249 0.500 0.249
Sc3 0.751 0.000 0.251
Sc4 0.751 0.500 0.751
Au1 0.252 0.502 0.750
Au2 0.748 0.498 0.250


5.
The following is a PBE calculation of LiSc2Au after structural relaxation, from the Open Quantum Materials Database.

The calculation puts the total energy at -0.164 hartree per atom. Its polymorph energy (0 for the lowest one) is 434 meV/atom.

a = 4.781 Å, b = 4.781 Å, c = 8.267 Å
α = 90.00°, β = 90.00°, γ = 120.00°
Fractional positions:
Li1 0.000 0.000 0.000
Li2 0.000 0.000 0.500
Sc1 0.333 0.667 0.086
Sc2 0.333 0.667 0.414
Sc3 0.667 0.333 0.586
Sc4 0.667 0.333 0.914
Au1 0.333 0.667 0.750
Au2 0.667 0.333 0.250


6.
The following is a PBE calculation of LiSc2Au after structural relaxation, from the Open Quantum Materials Database.

The calculation puts the total energy at -0.169 hartree per atom. Its polymorph energy (0 for the lowest one) is 288 meV/atom.

a = 4.362 Å, b = 4.362 Å, c = 10.208 Å
α = 90.00°, β = 90.00°, γ = 120.00°
Fractional positions:
Li1 0.333 0.667 0.250
Li2 0.667 0.333 0.750
Sc1 0.333 0.667 0.602
Sc2 0.333 0.667 0.898
Sc3 0.667 0.333 0.102
Sc4 0.667 0.333 0.398
Au1 0.000 0.000 0.250
Au2 0.000 0.000 0.750


7.
The following is a PBE calculation of LiSc2Au after structural relaxation, from the Open Quantum Materials Database.

The calculation puts the total energy at -0.167 hartree per atom. Its polymorph energy (0 for the lowest one) is 352 meV/atom.

a = 4.557 Å, b = 4.557 Å, c = 10.557 Å
α = 90.00°, β = 90.00°, γ = 120.00°
Fractional positions:
Li1 0.333 0.667 0.250
Li2 0.667 0.333 0.750
Sc1 0.333 0.667 0.589
Sc2 0.333 0.667 0.911
Sc3 0.667 0.333 0.089
Sc4 0.667 0.333 0.411
Au1 0.000 0.000 0.000
Au2 0.000 0.000 0.500


8.
The following is a PBE calculation of LiScTlAu after structural relaxation, from the Open Quantum Materials Database.

The calculation puts the total energy at -0.144 hartree per atom. Its polymorph energy (0 for the lowest one) is 0 meV/atom.

a = 4.798 Å, b = 4.798 Å, c = 4.798 Å
α = 60.00°, β = 60.00°, γ = 60.00°
Fractional positions:
Li1 0.000 0.000 0.000
Sc1 0.500 0.500 0.500
Tl1 0.750 0.750 0.750
Au1 0.250 0.250 0.250


9.
The following is a PBE calculation of LiScTlAu after structural relaxation, from the Open Quantum Materials Database.

The calculation puts the total energy at -0.144 hartree per atom. Its polymorph energy (0 for the lowest one) is 12 meV/atom.

a = 4.743 Å, b = 4.743 Å, c = 4.743 Å
α = 60.00°, β = 60.00°, γ = 60.00°
Fractional positions:
Li1 0.000 0.000 0.000
Sc1 0.750 0.750 0.750
Tl1 0.250 0.250 0.250
Au1 0.500 0.500 0.500


10.
The following is a PBE calculation of LiScTlAu after structural relaxation, from the Open Quantum Materials Database.

The calculation puts the total energy at -0.140 hartree per atom. Its polymorph energy (0 for the lowest one) is 130 meV/atom.

a = 4.761 Å, b = 4.761 Å, c = 4.761 Å
α = 60.00°, β = 60.00°, γ = 60.00°
Fractional positions:
Li1 0.000 0.000 0.000
Sc1 0.250 0.250 0.250
Tl1 0.500 0.500 0.500
Au1 0.750 0.750 0.750


11.
The following is a PBE calculation of Li2AuSe2 after structural relaxation, from the Open Quantum Materials Database.

The calculation puts the total energy at -0.130 hartree per atom.

a = 4.829 Å, b = 4.829 Å, c = 5.617 Å
α = 103.66°, β = 103.66°, γ = 48.81°
Fractional positions:
Li1 0.152 0.152 0.248
Li2 0.848 0.848 0.752
Au1 0.500 0.500 0.500
Se1 0.150 0.150 0.776
Se2 0.850 0.850 0.224


12.
The following is a PBE calculation of LiAuSe after structural relaxation, from the Open Quantum Materials Database.

The calculation puts the total energy at -0.130 hartree per atom.

a = 6.635 Å, b = 6.635 Å, c = 7.489 Å
α = 115.88°, β = 115.88°, γ = 90.44°
Fractional positions:
Li1 0.031 0.283 0.066
Li2 0.283 0.031 0.566
Li3 0.717 0.969 0.434
Li4 0.969 0.717 0.934
Au1 0.000 0.500 0.500
Au2 0.500 0.000 0.000
Au3 0.500 0.500 0.000
Au4 0.500 0.500 0.500
Se1 0.081 0.329 0.750
Se2 0.329 0.081 0.250
Se3 0.671 0.919 0.750
Se4 0.919 0.671 0.250


13.
The following is a PBE calculation of LiSiTeAuSe2 after structural relaxation, from the Open Quantum Materials Database.

The calculation puts the total energy at -0.138 hartree per atom.

a = 7.311 Å, b = 7.311 Å, c = 10.835 Å
α = 90.00°, β = 90.00°, γ = 152.42°
Fractional positions:
Li1 0.216 0.784 0.750
Li2 0.784 0.216 0.250
Si1 0.500 0.500 0.000
Si2 0.500 0.500 0.500
Te1 0.445 0.555 0.250
Te2 0.555 0.445 0.750
Au1 0.138 0.862 0.250
Au2 0.862 0.138 0.750
Se1 0.128 0.872 0.022
Se2 0.128 0.872 0.478
Se3 0.872 0.128 0.522
Se4 0.872 0.128 0.978


14.
The following is a PBE calculation of LiSnAu3Se4 after structural relaxation, from the Open Quantum Materials Database.

The calculation puts the total energy at -0.129 hartree per atom. Its polymorph energy (0 for the lowest one) is 0 meV/atom.

a = 6.319 Å, b = 8.704 Å, c = 8.587 Å
α = 90.00°, β = 96.83°, γ = 90.00°
Fractional positions:
Li1 0.244 0.250 0.204
Li2 0.756 0.750 0.796
Sn1 0.298 0.750 0.218
Sn2 0.702 0.250 0.782
Au1 0.178 0.081 0.569
Au2 0.178 0.419 0.569
Au3 0.268 0.250 0.870
Au4 0.732 0.750 0.130
Au5 0.822 0.581 0.431
Au6 0.822 0.919 0.431
Se1 0.037 0.515 0.210
Se2 0.037 0.985 0.210
Se3 0.404 0.750 0.935
Se4 0.480 0.250 0.493
Se5 0.520 0.750 0.507
Se6 0.596 0.250 0.065
Se7 0.963 0.015 0.790
Se8 0.963 0.485 0.790


15.
The following is a PBE calculation of LiSnAuSe3 after structural relaxation, from the Open Quantum Materials Database.

The calculation puts the total energy at -0.136 hartree per atom. Its polymorph energy (0 for the lowest one) is 0 meV/atom.

a = 7.150 Å, b = 7.150 Å, c = 10.506 Å
α = 90.00°, β = 90.00°, γ = 147.78°
Fractional positions:
Li1 0.182 0.818 0.750
Li2 0.818 0.182 0.250
Sn1 0.500 0.500 0.000
Sn2 0.500 0.500 0.500
Au1 0.159 0.841 0.250
Au2 0.841 0.159 0.750
Se1 0.141 0.859 0.019
Se2 0.141 0.859 0.481
Se3 0.438 0.562 0.250
Se4 0.562 0.438 0.750
Se5 0.859 0.141 0.519
Se6 0.859 0.141 0.981


16.
The following is a PBE calculation of LiSnAu3Se4 after structural relaxation, from the Open Quantum Materials Database.

The calculation puts the total energy at -0.125 hartree per atom. Its polymorph energy (0 for the lowest one) is 114 meV/atom.

a = 6.117 Å, b = 6.117 Å, c = 6.117 Å
α = 90.00°, β = 90.00°, γ = 90.00°
Fractional positions:
Li1 0.000 0.000 0.000
Sn1 0.500 0.500 0.500
Au1 0.000 0.500 0.500
Au2 0.500 0.000 0.500
Au3 0.500 0.500 0.000
Se1 0.233 0.233 0.233
Se2 0.233 0.767 0.767
Se3 0.767 0.233 0.767
Se4 0.767 0.767 0.233


17.
The following is a PBE calculation of LiSnAuSe3 after structural relaxation, from the Open Quantum Materials Database.

The calculation puts the total energy at -0.136 hartree per atom. Its polymorph energy (0 for the lowest one) is 3 meV/atom.

a = 14.314 Å, b = 3.956 Å, c = 9.920 Å
α = 90.00°, β = 90.00°, γ = 90.00°
Fractional positions:
Li1 0.175 0.250 0.017
Li2 0.325 0.750 0.517
Li3 0.675 0.250 0.483
Li4 0.825 0.750 0.983
Sn1 0.025 0.750 0.671
Sn2 0.475 0.250 0.171
Sn3 0.525 0.750 0.829
Sn4 0.975 0.250 0.329
Au1 0.219 0.750 0.228
Au2 0.281 0.250 0.728
Au3 0.719 0.750 0.272
Au4 0.781 0.250 0.772
Se1 0.051 0.750 0.164
Se2 0.114 0.250 0.517
Se3 0.179 0.750 0.826
Se4 0.321 0.250 0.326
Se5 0.386 0.750 0.017
Se6 0.449 0.250 0.664
Se7 0.551 0.750 0.336
Se8 0.614 0.250 0.983
Se9 0.679 0.750 0.674
Se10 0.821 0.250 0.174
Se11 0.886 0.750 0.483
Se12 0.949 0.250 0.836


18.
The following is a PBE calculation of LiSnTeAuSe2 after structural relaxation, from the Open Quantum Materials Database.

The calculation puts the total energy at -0.132 hartree per atom.

a = 7.396 Å, b = 7.396 Å, c = 11.334 Å
α = 90.00°, β = 90.00°, γ = 150.11°
Fractional positions:
Li1 0.221 0.779 0.750
Li2 0.779 0.221 0.250
Sn1 0.500 0.500 0.000
Sn2 0.500 0.500 0.500
Te1 0.430 0.570 0.250
Te2 0.570 0.430 0.750
Au1 0.139 0.861 0.250
Au2 0.861 0.139 0.750
Se1 0.140 0.860 0.034
Se2 0.140 0.860 0.466
Se3 0.860 0.140 0.534
Se4 0.860 0.140 0.966


19.
The following is a PBE calculation of LiSnTe2AuSe after structural relaxation, from the Open Quantum Materials Database.

The calculation puts the total energy at -0.125 hartree per atom.

a = 6.894 Å, b = 6.894 Å, c = 11.288 Å
α = 90.00°, β = 90.00°, γ = 144.92°
Fractional positions:
Li1 0.235 0.765 0.750
Li2 0.765 0.235 0.250
Sn1 0.500 0.500 0.000
Sn2 0.500 0.500 0.500
Te1 0.166 0.834 0.066
Te2 0.166 0.834 0.434
Te3 0.834 0.166 0.566
Te4 0.834 0.166 0.934
Au1 0.025 0.975 0.250
Au2 0.975 0.025 0.750
Se1 0.403 0.597 0.250
Se2 0.597 0.403 0.750


20.
The following is a PBE calculation of LiTbAu3Se4 after structural relaxation, from the Open Quantum Materials Database.

The calculation puts the total energy at -0.147 hartree per atom. Its polymorph energy (0 for the lowest one) is 0 meV/atom.

a = 6.180 Å, b = 6.180 Å, c = 6.180 Å
α = 90.00°, β = 90.00°, γ = 90.00°
Fractional positions:
Li1 0.000 0.000 0.000
Tb1 0.500 0.500 0.500
Au1 0.000 0.500 0.500
Au2 0.500 0.000 0.500
Au3 0.500 0.500 0.000
Se1 0.243 0.243 0.243
Se2 0.243 0.757 0.757
Se3 0.757 0.243 0.757
Se4 0.757 0.757 0.243


21.
The following is a PBE calculation of LiTbAu3Se4 after structural relaxation, from the Open Quantum Materials Database.

The calculation puts the total energy at -0.146 hartree per atom. Its polymorph energy (0 for the lowest one) is 18 meV/atom.

a = 6.127 Å, b = 8.728 Å, c = 10.007 Å
α = 90.00°, β = 103.66°, γ = 90.00°
Fractional positions:
Li1 0.225 0.250 0.184
Li2 0.775 0.750 0.816
Tb1 0.287 0.250 0.673
Tb2 0.713 0.750 0.327
Au1 0.153 0.750 0.199
Au2 0.208 0.579 0.478
Au3 0.208 0.921 0.478
Au4 0.792 0.079 0.522
Au5 0.792 0.421 0.522
Au6 0.847 0.250 0.801
Se1 0.010 0.250 0.395
Se2 0.238 0.250 0.937
Se3 0.413 0.507 0.292
Se4 0.413 0.993 0.292
Se5 0.587 0.007 0.708
Se6 0.587 0.493 0.708
Se7 0.762 0.750 0.063
Se8 0.990 0.750 0.605